No. 1
4
Lattice="0.000 3.418 3.418 3.418 0.000 3.418 3.418 3.418 0.000" Properties=species:S:1:pos:R:3 comment="PBE Cd3W, optimized geometry" de_polymorph_ev_per_atom=0.426 mass_density_kg_m3=10837 magnetic_moment_mub_per_atom=0.54 ef_mev_per_atom=810 pbc="T T T"
Cd 0.000 0.000 0.000
Cd 1.709 1.709 1.709
Cd 5.127 5.127 5.127
W 3.418 3.418 3.418

No. 2
5
Lattice="5.186 0.000 0.000 0.000 5.186 0.000 0.000 0.000 5.093" Properties=species:S:1:pos:R:3 comment="PBE La2InFeHg, optimized geometry" mass_density_kg_m3=7869 magnetic_moment_mub_per_atom=0.00 ef_mev_per_atom=-264 pbc="T T T"
La 0.000 2.593 0.000
La 2.593 0.000 0.000
In 0.000 0.000 2.547
Fe 0.000 0.000 0.000
Hg 2.593 2.593 2.547